[1]
VASP calculation (PBE) on a geometry-optimized RbSbTe2As structure.

Summary:
Its space group is P4/mmm, No. 123. For the calculated volume, the calculation gives 36.0 A^3/atom. For the energy relative to the lowest polymorph listed for this composition, the calculation gives 0.000 eV per formula unit. For the total energy, the calculation gives -3.191 eV per atom.

POSCAR file:
```
RbSbTe2As
1.0
5.7982 0.0000 0.0000
0.0000 5.7982 0.0000
0.0000 0.0000 5.3549
Rb Sb Te As
1 1 2 1
direct
0.0000 0.0000 0.0000
0.5000 0.5000 0.0000
0.0000 0.5000 0.5000
0.5000 0.0000 0.5000
0.5000 0.5000 0.5000
```

=====

[2]
VASP calculation (PBE) on a geometry-optimized ScCoSe2 structure.

Summary:
Its space group is P4mm, No. 99. For the calculated volume, the calculation gives 19.2 A^3/atom. For the energy relative to the lowest polymorph listed for this composition, the calculation gives 0.053 eV per formula unit. For the total energy, the calculation gives -5.946 eV per atom.

POSCAR file:
```
ScCoSe2
1.0
3.6357 0.0000 0.0000
0.0000 3.6357 0.0000
0.0000 0.0000 5.8100
Sc Co Se
1 1 2
direct
0.0000 0.0000 0.0000
0.5000 0.5000 0.6788
0.0000 0.0000 0.5593
0.5000 0.5000 0.1079
```

=====

[3]
VASP calculation (PBE) on a geometry-optimized Mg2InCu2 structure.

Summary:
Its space group is I4/mmm, No. 139. As for the energy of formation: 113.0 meV/atom. For the calculated volume, the calculation gives 19.3 A^3/atom. For the total energy, the calculation gives -2.711 eV per atom.

POSCAR file:
```
Mg2InCu2
1.0
-2.0475 2.0475 5.7552
2.0475 -2.0475 5.7552
2.0475 2.0475 -5.7552
Mg In Cu
2 1 2
direct
0.2500 0.7500 0.5000
0.7500 0.2500 0.5000
0.0000 0.0000 0.0000
0.3979 0.3979 0.0000
0.6021 0.6021 0.0000
```

=====

[4]
VASP calculation (PBE) on a geometry-optimized Nb2VCu2 structure.

Summary:
Its space group is P4/mbm, No. 127. As for the energy of formation: 272.0 meV/atom. For the calculated volume, the calculation gives 15.5 A^3/atom. For the total energy, the calculation gives -7.218 eV per atom.

POSCAR file:
```
Nb2VCu2
1.0
6.8686 0.0000 0.0000
0.0000 6.8686 0.0000
0.0000 0.0000 3.2959
Nb V Cu
4 2 4
direct
0.1766 0.3234 0.0000
0.3234 0.8234 0.0000
0.6766 0.1766 0.0000
0.8234 0.6766 0.0000
0.0000 0.0000 0.5000
0.5000 0.5000 0.5000
0.1232 0.6232 0.5000
0.3768 0.1232 0.5000
0.6232 0.8768 0.5000
0.8768 0.3768 0.5000
```